# TcHgCl | Alexandria via LeMat-Bulk | PBE | optimized geometry
data_TcHgCl
_cell_length_a 3.076
_cell_length_b 3.076
_cell_length_c 7.526
_cell_angle_alpha 90.00
_cell_angle_beta 90.00
_cell_angle_gamma 120.00
_space_group_name_H-M_alt 'P 1'
_space_group_IT_number 1
_space_group_name_Hall 'P 1'
loop_
_atom_site_label
_atom_site_type_symbol
_atom_site_fract_x
_atom_site_fract_y
_atom_site_fract_z
_atom_site_occupancy
Tc1 Tc 0.000 0.000 0.000 1
Hg1 Hg 0.333 0.667 0.691 1
Cl1 Cl 0.667 0.333 0.214 1
# **ΔE to the lowest computed polymorph**: 0.00 eV per formula unit
# **Symmetry**: No. 156
# **Energy relative to the elements, uncorrected**: 0.2914 eV per atom
# **Crystal system**: trigonal
# **E**: -3.880 eV per atom
# **Calculated volume**: 20.55 Å³/atom

# TcHgCl | Alexandria via LeMat-Bulk | PBE | optimized geometry
data_TcHgCl
_cell_length_a 4.672
_cell_length_b 4.672
_cell_length_c 4.672
_cell_angle_alpha 60.00
_cell_angle_beta 60.00
_cell_angle_gamma 60.00
_space_group_name_H-M_alt 'P 1'
_space_group_IT_number 1
_space_group_name_Hall 'P 1'
loop_
_atom_site_label
_atom_site_type_symbol
_atom_site_fract_x
_atom_site_fract_y
_atom_site_fract_z
_atom_site_occupancy
Tc1 Tc 0.000 0.000 0.000 1
Hg1 Hg 0.500 0.500 0.500 1
Cl1 Cl 0.250 0.250 0.250 1
# **ΔE to the lowest computed polymorph**: 2.48 eV per formula unit
# **Symmetry**: No. 216
# **Energy relative to the elements, uncorrected**: 1.1187 eV per atom
# **Crystal system**: cubic
# **E**: -3.053 eV per atom
# **Calculated volume**: 24.04 Å³/atom

# TcHgCl6 | Alexandria via LeMat-Bulk | PBE | optimized geometry
data_TcHgCl6
_cell_length_a 6.778
_cell_length_b 6.778
_cell_length_c 6.703
_cell_angle_alpha 100.46
_cell_angle_beta 100.46
_cell_angle_gamma 107.18
_space_group_name_H-M_alt 'P 1'
_space_group_IT_number 1
_space_group_name_Hall 'P 1'
loop_
_atom_site_label
_atom_site_type_symbol
_atom_site_fract_x
_atom_site_fract_y
_atom_site_fract_z
_atom_site_occupancy
Tc1 Tc 0.000 0.000 0.000 1
Hg1 Hg 0.000 0.000 0.500 1
Cl1 Cl 0.028 0.722 0.743 1
Cl2 Cl 0.251 0.251 0.883 1
Cl3 Cl 0.278 0.972 0.257 1
Cl4 Cl 0.722 0.028 0.743 1
Cl5 Cl 0.749 0.749 0.117 1
Cl6 Cl 0.972 0.278 0.257 1
# **Symmetry**: No. 12
# **Energy relative to the elements, uncorrected**: -0.6057 eV per atom
# **Crystal system**: monoclinic
# **E**: -3.324 eV per atom
# **Calculated volume**: 35.01 Å³/atom

# TcHgCl | Alexandria via LeMat-Bulk | PBE | optimized geometry
data_TcHgCl
_cell_length_a 4.588
_cell_length_b 4.588
_cell_length_c 3.278
_cell_angle_alpha 90.00
_cell_angle_beta 90.00
_cell_angle_gamma 120.00
_space_group_name_H-M_alt 'P 1'
_space_group_IT_number 1
_space_group_name_Hall 'P 1'
loop_
_atom_site_label
_atom_site_type_symbol
_atom_site_fract_x
_atom_site_fract_y
_atom_site_fract_z
_atom_site_occupancy
Tc1 Tc 0.000 0.000 0.000 1
Hg1 Hg 0.333 0.667 0.500 1
Cl1 Cl 0.667 0.333 0.000 1
# **ΔE to the lowest computed polymorph**: 1.28 eV per formula unit
# **Symmetry**: No. 187
# **Energy relative to the elements, uncorrected**: 0.7171 eV per atom
# **Crystal system**: hexagonal
# **E**: -3.454 eV per atom
# **Calculated volume**: 19.92 Å³/atom

# Tc2Hg2Cl7 | Alexandria via LeMat-Bulk | PBE | optimized geometry
data_Tc2Hg2Cl7
_cell_length_a 8.537
_cell_length_b 8.537
_cell_length_c 7.565
_cell_angle_alpha 90.96
_cell_angle_beta 90.96
_cell_angle_gamma 130.72
_space_group_name_H-M_alt 'P 1'
_space_group_IT_number 1
_space_group_name_Hall 'P 1'
loop_
_atom_site_label
_atom_site_type_symbol
_atom_site_fract_x
_atom_site_fract_y
_atom_site_fract_z
_atom_site_occupancy
Tc1 Tc 0.163 0.163 0.068 1
Tc2 Tc 0.837 0.837 0.932 1
Hg1 Hg 0.249 0.751 0.500 1
Hg2 Hg 0.751 0.249 0.500 1
Cl1 Cl 0.062 0.348 0.131 1
Cl2 Cl 0.103 0.103 0.757 1
Cl3 Cl 0.348 0.062 0.131 1
Cl4 Cl 0.500 0.500 0.000 1
Cl5 Cl 0.652 0.938 0.869 1
Cl6 Cl 0.897 0.897 0.243 1
Cl7 Cl 0.938 0.652 0.869 1
# **Symmetry**: No. 12
# **Energy relative to the elements, uncorrected**: -0.3711 eV per atom
# **Crystal system**: monoclinic
# **E**: -3.486 eV per atom
# **Calculated volume**: 37.95 Å³/atom

# Tc2HgCl8 | Alexandria via LeMat-Bulk | PBE | optimized geometry
data_Tc2HgCl8
_cell_length_a 8.429
_cell_length_b 8.429
_cell_length_c 7.149
_cell_angle_alpha 112.42
_cell_angle_beta 112.42
_cell_angle_gamma 48.67
_space_group_name_H-M_alt 'P 1'
_space_group_IT_number 1
_space_group_name_Hall 'P 1'
loop_
_atom_site_label
_atom_site_type_symbol
_atom_site_fract_x
_atom_site_fract_y
_atom_site_fract_z
_atom_site_occupancy
Tc1 Tc 0.246 0.246 0.492 1
Tc2 Tc 0.754 0.754 0.508 1
Hg1 Hg 0.500 0.500 0.000 1
Cl1 Cl 0.117 0.599 0.488 1
Cl2 Cl 0.161 0.161 0.141 1
Cl3 Cl 0.315 0.315 0.854 1
Cl4 Cl 0.401 0.883 0.512 1
Cl5 Cl 0.599 0.117 0.488 1
Cl6 Cl 0.685 0.685 0.146 1
Cl7 Cl 0.839 0.839 0.859 1
Cl8 Cl 0.883 0.401 0.512 1
# **Symmetry**: No. 12
# **Energy relative to the elements, uncorrected**: -0.5605 eV per atom
# **Crystal system**: monoclinic
# **E**: -3.816 eV per atom
# **Calculated volume**: 31.49 Å³/atom

# TcHgCl3 | Alexandria via LeMat-Bulk | PBE | optimized geometry
data_TcHgCl3
_cell_length_a 4.967
_cell_length_b 4.967
_cell_length_c 4.967
_cell_angle_alpha 90.00
_cell_angle_beta 90.00
_cell_angle_gamma 90.00
_space_group_name_H-M_alt 'P 1'
_space_group_IT_number 1
_space_group_name_Hall 'P 1'
loop_
_atom_site_label
_atom_site_type_symbol
_atom_site_fract_x
_atom_site_fract_y
_atom_site_fract_z
_atom_site_occupancy
Tc1 Tc 0.000 0.000 0.000 1
Hg1 Hg 0.500 0.500 0.500 1
Cl1 Cl 0.000 0.000 0.500 1
Cl2 Cl 0.000 0.500 0.000 1
Cl3 Cl 0.500 0.000 0.000 1
# **ΔE to the lowest computed polymorph**: 0.95 eV per formula unit
# **Symmetry**: No. 221
# **Energy relative to the elements, uncorrected**: -0.2062 eV per atom
# **Crystal system**: cubic
# **E**: -3.448 eV per atom
# **Calculated volume**: 24.51 Å³/atom

# TcHgCl | Alexandria via LeMat-Bulk | PBE | optimized geometry
data_TcHgCl
_cell_length_a 6.910
_cell_length_b 6.910
_cell_length_c 6.910
_cell_angle_alpha 154.13
_cell_angle_beta 154.13
_cell_angle_gamma 36.92
_space_group_name_H-M_alt 'P 1'
_space_group_IT_number 1
_space_group_name_Hall 'P 1'
loop_
_atom_site_label
_atom_site_type_symbol
_atom_site_fract_x
_atom_site_fract_y
_atom_site_fract_z
_atom_site_occupancy
Tc1 Tc 0.000 0.000 0.000 1
Hg1 Hg 0.355 0.355 0.000 1
Cl1 Cl 0.619 0.619 0.000 1
# **ΔE to the lowest computed polymorph**: 0.63 eV per formula unit
# **Symmetry**: No. 107
# **Energy relative to the elements, uncorrected**: 0.5012 eV per atom
# **Crystal system**: tetragonal
# **E**: -3.670 eV per atom
# **Calculated volume**: 20.91 Å³/atom

# TcHgCl3 | Alexandria via LeMat-Bulk | PBE | optimized geometry
data_TcHgCl3
_cell_length_a 5.273
_cell_length_b 5.273
_cell_length_c 5.273
_cell_angle_alpha 90.00
_cell_angle_beta 90.00
_cell_angle_gamma 90.00
_space_group_name_H-M_alt 'P 1'
_space_group_IT_number 1
_space_group_name_Hall 'P 1'
loop_
_atom_site_label
_atom_site_type_symbol
_atom_site_fract_x
_atom_site_fract_y
_atom_site_fract_z
_atom_site_occupancy
Tc1 Tc 0.000 0.000 0.000 1
Hg1 Hg 0.500 0.500 0.500 1
Cl1 Cl 0.000 0.500 0.500 1
Cl2 Cl 0.500 0.000 0.500 1
Cl3 Cl 0.500 0.500 0.000 1
# **ΔE to the lowest computed polymorph**: 4.65 eV per formula unit
# **Symmetry**: No. 221
# **Energy relative to the elements, uncorrected**: 0.5341 eV per atom
# **Crystal system**: cubic
# **E**: -2.707 eV per atom
# **Calculated volume**: 29.32 Å³/atom

# TcHgCl4 | Alexandria via LeMat-Bulk | PBE | optimized geometry
data_TcHgCl4
_cell_length_a 7.413
_cell_length_b 7.567
_cell_length_c 7.738
_cell_angle_alpha 113.62
_cell_angle_beta 95.61
_cell_angle_gamma 108.47
_space_group_name_H-M_alt 'P 1'
_space_group_IT_number 1
_space_group_name_Hall 'P 1'
loop_
_atom_site_label
_atom_site_type_symbol
_atom_site_fract_x
_atom_site_fract_y
_atom_site_fract_z
_atom_site_occupancy
Tc1 Tc 0.161 0.063 0.045 1
Tc2 Tc 0.839 0.937 0.955 1
Hg1 Hg 0.301 0.632 0.099 1
Hg2 Hg 0.699 0.368 0.901 1
Cl1 Cl 0.233 0.978 0.297 1
Cl2 Cl 0.240 0.784 0.848 1
Cl3 Cl 0.251 0.407 0.291 1
Cl4 Cl 0.258 0.222 0.841 1
Cl5 Cl 0.742 0.778 0.159 1
Cl6 Cl 0.749 0.593 0.709 1
Cl7 Cl 0.760 0.216 0.152 1
Cl8 Cl 0.767 0.022 0.703 1
# **ΔE to the lowest computed polymorph**: 0.00 eV per formula unit
# **Symmetry**: No. 2
# **Energy relative to the elements, uncorrected**: -0.6164 eV per atom
# **Crystal system**: triclinic
# **E**: -3.625 eV per atom
# **Calculated volume**: 30.37 Å³/atom

# TcHgCl4 | Alexandria via LeMat-Bulk | PBE | optimized geometry
data_TcHgCl4
_cell_length_a 5.949
_cell_length_b 5.949
_cell_length_c 5.949
_cell_angle_alpha 60.00
_cell_angle_beta 60.00
_cell_angle_gamma 60.00
_space_group_name_H-M_alt 'P 1'
_space_group_IT_number 1
_space_group_name_Hall 'P 1'
loop_
_atom_site_label
_atom_site_type_symbol
_atom_site_fract_x
_atom_site_fract_y
_atom_site_fract_z
_atom_site_occupancy
Tc1 Tc 0.000 0.000 0.000 1
Hg1 Hg 0.250 0.250 0.250 1
Cl1 Cl 0.124 0.625 0.625 1
Cl2 Cl 0.625 0.124 0.625 1
Cl3 Cl 0.625 0.625 0.124 1
Cl4 Cl 0.625 0.625 0.625 1
# **ΔE to the lowest computed polymorph**: 8.81 eV per formula unit
# **Symmetry**: No. 216
# **Energy relative to the elements, uncorrected**: 0.8526 eV per atom
# **Crystal system**: cubic
# **E**: -2.156 eV per atom
# **Calculated volume**: 24.81 Å³/atom

# TcHg2Cl8 | Alexandria via LeMat-Bulk | PBE | optimized geometry
data_TcHg2Cl8
_cell_length_a 6.325
_cell_length_b 7.650
_cell_length_c 7.734
_cell_angle_alpha 112.70
_cell_angle_beta 90.18
_cell_angle_gamma 90.02
_space_group_name_H-M_alt 'P 1'
_space_group_IT_number 1
_space_group_name_Hall 'P 1'
loop_
_atom_site_label
_atom_site_type_symbol
_atom_site_fract_x
_atom_site_fract_y
_atom_site_fract_z
_atom_site_occupancy
Tc1 Tc 0.000 0.000 0.000 1
Hg1 Hg 0.500 0.289 0.289 1
Hg2 Hg 0.500 0.711 0.711 1
Cl1 Cl 0.162 0.907 0.700 1
Cl2 Cl 0.164 0.304 0.093 1
Cl3 Cl 0.290 0.885 0.113 1
Cl4 Cl 0.356 0.369 0.626 1
Cl5 Cl 0.644 0.631 0.374 1
Cl6 Cl 0.710 0.115 0.887 1
Cl7 Cl 0.836 0.696 0.907 1
Cl8 Cl 0.838 0.093 0.300 1
# **Symmetry**: No. 2
# **Energy relative to the elements, uncorrected**: -0.6100 eV per atom
# **Crystal system**: triclinic
# **E**: -2.950 eV per atom
# **Calculated volume**: 31.38 Å³/atom

> The lowest calculated volume belongs to which entry?

number 4

> The lowest calculated volume belongs to which entry?

number 4